# 1
Tm6CdPd5 | PBE | relaxed

Its energy is -5.2932 eV per atom. The formation energy is -0.818 eV per atom. The calculated volume is 21.40 A^3/atom.

It has space group P2/m (No. 10), with a = 4.937 Å, b = 7.039 Å, c = 7.787 Å, α = 90.00°, β = 108.34° and γ = 90.00°. Symmetry generates all atoms from Tm at (0.000, 0.239, 0.000), Tm at (0.329, 0.246, 0.658), Cd at (0.500, 0.500, 0.000), Pd at (0.162, 0.500, 0.322), Pd at (0.168, 0.000, 0.334) and Pd at (0.500, 0.000, 0.000).



# 2
TmCd3Pd6 | PBE | relaxed

Its energy is -4.3856 eV per atom. The formation energy is -0.548 eV per atom. The calculation puts the energy above the lowest structure with this stoichiometry at 0.0 meV/atom. The calculated volume is 17.54 A^3/atom.

It has space group P2_1/m (No. 11), with a = 8.776 Å, b = 4.265 Å, c = 9.413 Å, α = 90.00°, β = 95.43° and γ = 90.00°. Symmetry generates all atoms from Tm at (0.063, 0.250, 0.375), Cd at (0.247, 0.250, 0.013), Cd at (0.345, 0.750, 0.806), Cd at (0.449, 0.250, 0.602), Pd at (0.054, 0.750, 0.910), Pd at (0.149, 0.250, 0.702), Pd at (0.153, 0.750, 0.206), Pd at (0.249, 0.750, 0.505), Pd at (0.362, 0.250, 0.302) and Pd at (0.453, 0.750, 0.100).



# 3
Tm2Cd3Pd2 | PBE | relaxed

Its energy is -3.7245 eV per atom. The formation energy is -0.571 eV per atom. The calculation puts the energy above the lowest structure with this stoichiometry at 23.0 meV/atom. The calculated volume is 21.83 A^3/atom.

It has space group C2/m (No. 12), with a = 10.030 Å, b = 3.951 Å, c = 7.736 Å, α = 90.00°, β = 94.53° and γ = 90.00°. Symmetry generates all atoms from Tm at (0.122, 0.000, 0.356), Cd at (0.000, 0.500, 0.000), Cd at (0.196, 0.000, 0.867) and Pd at (0.094, 0.500, 0.638).



M_tot per entry: 0.00 0.00 0.00 μB per formula unit